1.
DFT (PBE-GGA) results for a geometry-optimized IrCl structure.

POSCAR file:
```
IrCl
1.0
6.534 -0.002 0.066
1.083 6.444 -0.066
-1.702 -5.712 2.678
Cl Ir
2 2
Cartesian
0.573 0.485 0.000 Cl
3.747 -1.732 1.372 Cl
1.752 2.109 1.306 Ir
3.652 3.088 0.000 Ir
```

- E_form (uncorrected) (eV per formula unit) = 1.39
- DOS at the Fermi energy (states/eV per cell) = 6.448

=====

2.
DFT (PBE-GGA) results for a geometry-optimized ZrZn2Sb structure.

POSCAR file:
```
ZrZn2Sb
1.0
3.745 0.000 0.000
0.000 3.745 0.000
0.000 0.000 5.692
Zn Sb Zr
2 1 1
Cartesian
0.000 0.000 0.049 Zn
0.000 0.000 2.797 Zn
1.872 1.872 4.269 Sb
1.872 1.872 1.423 Zr
```

- E_form (uncorrected) (eV per formula unit) = -0.35
- DOS at the Fermi energy (states/eV per cell) = 3.092

=====

3.
DFT (PBE-GGA) results for a geometry-optimized NaSiSn structure.

POSCAR file:
```
NaSiSn
1.0
4.343 0.000 0.000
0.000 18.430 0.000
0.000 0.000 3.815
Na Sn Si
4 4 4
Cartesian
0.000 14.816 0.954 Na
0.000 3.614 2.861 Na
2.172 12.829 2.861 Na
2.172 5.601 0.954 Na
0.000 6.982 2.861 Sn
2.172 16.197 2.861 Sn
0.000 11.448 0.954 Sn
2.172 2.233 0.954 Sn
2.172 8.528 2.861 Si
0.000 17.743 2.861 Si
0.000 0.687 0.954 Si
2.172 9.902 0.954 Si
```

- E_form (uncorrected) (eV per formula unit) = -0.05
- DOS at the Fermi energy (states/eV per cell) = 3.304

=====

4.
DFT (PBE-GGA) results for a geometry-optimized Ti6Al2C structure.

POSCAR file:
```
Ti6Al2C
1.0
3.164 0.000 0.000
0.000 7.065 0.000
0.000 -3.532 6.118
Ti Al C
6 2 1
Cartesian
0.000 2.718 4.708 Ti
1.582 -2.169 3.757 Ti
1.582 1.364 2.362 Ti
0.000 1.630 0.000 Ti
1.582 4.335 0.000 Ti
0.000 6.250 1.411 Ti
0.000 0.000 4.078 Al
0.000 3.533 2.040 Al
1.582 0.002 0.000 C
```

- DOS at the Fermi energy (states/eV per cell) = 6.792
- calculated formation energy (eV per atom) = -0.341

=====

5.
DFT (PBE-GGA) results for a geometry-optimized LiTlTeW2 structure.

POSCAR file:
```
LiTlTeW2
1.0
4.980 0.000 0.000
0.000 6.074 0.000
0.000 0.000 4.980
W Li Te Tl
2 1 1 1
Cartesian
2.490 0.000 0.000 W
0.000 0.000 2.490 W
2.490 3.037 2.490 Li
0.000 0.000 0.000 Te
0.000 3.037 0.000 Tl
```

- E_form (uncorrected) (eV per formula unit) = 9.67
- DOS at the Fermi energy (states/eV per cell) = 5.099

=====

6.
DFT (PBE-GGA) results for a geometry-optimized AcMgGaRh structure.

POSCAR file:
```
AcMgGaRh
1.0
5.057 0.000 0.000
2.529 4.380 0.000
2.529 1.460 4.129
Mg Ga Ac Rh
1 1 1 1
Cartesian
0.000 0.000 0.000 Mg
2.529 1.460 1.032 Ga
5.057 2.920 2.065 Ac
7.586 4.380 3.097 Rh
```

- DOS at the Fermi energy (states/eV per cell) = 2.571
- calculated formation energy (eV per atom) = -0.320

=====

7.
DFT (PBE-GGA) results for a geometry-optimized Rb2BaLiTa structure.

POSCAR file:
```
Rb2BaLiTa
1.0
-4.982 -0.043 -5.008
-3.659 -1.910 3.656
-1.763 6.627 1.697
Rb Ba Li Ta
2 1 1 1
Cartesian
-2.491 -0.021 -2.504 Rb
-0.881 3.314 0.849 Rb
0.000 0.000 0.000 Ba
-1.829 -0.955 1.828 Li
-5.202 2.337 0.173 Ta
```

- DOS at the Fermi energy (states/eV per cell) = 5.602
- calculated formation energy (eV per atom) = 1.885

=====

8.
DFT (PBE-GGA) results for a geometry-optimized Pm2ThCu structure.

POSCAR file:
```
Pm2ThCu
1.0
3.457 0.000 0.000
1.729 2.994 0.000
1.729 0.998 11.242
Th Pm Cu
1 2 1
Cartesian
0.000 0.000 0.000 Th
5.186 2.994 3.453 Pm
1.729 0.998 7.789 Pm
3.457 1.996 5.621 Cu
```

- DOS at the Fermi energy (states/eV per cell) = 4.163
- calculated formation energy (eV per atom) = 0.255

=====

9.
DFT (PBE-GGA) results for a geometry-optimized LiLaSeBr2 structure.

POSCAR file:
```
LiLaSeBr2
1.0
-1.375 -4.543 0.502
4.396 -1.171 1.444
-1.407 0.988 5.085
La Se Br Li
1 1 2 1
Cartesian
0.807 -2.363 3.516 La
-0.704 0.494 2.543 Se
2.198 -0.586 0.722 Br
-0.688 -2.271 0.251 Br
0.000 0.000 0.000 Li
```

- E_form (uncorrected) (eV per formula unit) = -7.03

=====

10.
DFT (PBE-GGA) results for a geometry-optimized Ac2HoTmS6 structure.

POSCAR file:
```
Ac2HoTmS6
1.0
-2.395 -5.997 2.482
6.112 -0.661 4.301
-4.688 4.962 7.424
S Ho Tm Ac
12 2 2 4
Cartesian
-4.147 0.337 9.998 S
-1.335 0.933 4.532 S
3.176 -2.033 4.209 S
0.444 -0.920 1.744 S
-2.391 -1.513 7.194 S
1.420 -0.182 7.013 S
-2.422 -2.520 3.588 S
0.039 -4.378 6.348 S
-1.010 2.683 7.859 S
-1.415 -0.776 12.463 S
1.451 0.824 10.619 S
0.364 -2.629 9.675 S
0.712 2.150 5.862 Ho
-1.198 -2.998 1.241 Ho
-3.541 -0.517 4.953 Tm
3.056 -0.330 2.151 Tm
0.228 -1.851 4.802 Ac
4.340 0.457 5.857 Ac
-5.311 -2.152 8.349 Ac
-1.199 0.155 9.404 Ac
```

- E_form (uncorrected) (eV per formula unit) = -21.64
- DOS at the Fermi energy (states/eV per cell) = 0.000

=====

11.
DFT (PBE-GGA) results for a geometry-optimized RbInAs2O6 structure.

POSCAR file:
```
RbInAs2O6
1.0
5.682 0.000 0.000
2.841 4.920 0.000
2.841 1.640 6.408
O Rb In As
6 1 1 2
Cartesian
7.458 2.931 1.975 O
4.491 1.916 1.975 O
6.268 1.567 4.433 O
3.905 3.629 4.433 O
5.095 4.993 1.975 O
6.872 4.644 4.433 O
0.000 0.000 0.000 Rb
5.682 3.280 3.204 In
2.841 1.640 1.518 As
8.522 4.920 4.890 As
```

- E_form (uncorrected) (eV per formula unit) = -12.29
- DOS at the Fermi energy (states/eV per cell) = 1.698

=====

12.
DFT (PBE-GGA) results for a geometry-optimized K3Eu5Br12 structure.

POSCAR file:
```
K3Eu5Br12
1.0
16.374 0.000 0.000
-5.458 15.437 0.000
-5.458 -7.719 13.369
Br K Eu
48 12 20
Cartesian
2.553 10.351 5.497 Br
-0.721 9.746 1.136 Br
5.282 2.632 7.872 Br
8.884 -1.071 2.793 Br
6.179 1.998 12.182 Br
2.008 -1.998 12.182 Br
7.490 8.624 7.154 Br
-5.634 11.163 5.028 Br
-6.700 4.160 9.477 Br
2.008 2.027 12.233 Br
6.945 11.878 3.892 Br
-1.242 9.009 5.548 Br
-2.008 0.030 11.045 Br
-3.426 8.790 10.576 Br
-4.216 13.169 1.657 Br
8.363 13.795 0.469 Br
3.450 9.716 1.188 Br
3.426 1.976 4.361 Br
8.363 4.274 5.028 Br
12.158 3.559 3.892 Br
6.179 -2.027 12.233 Br
-2.905 3.444 8.341 Br
4.761 -1.976 4.361 Br
10.219 0.905 6.216 Br
9.674 -5.450 11.713 Br
3.971 6.428 5.548 Br
10.740 1.642 0.469 Br
-0.721 5.721 1.188 Br
6.700 -1.290 7.821 Br
-2.905 -6.077 12.900 Br
6.945 2.269 1.657 Br
6.155 6.648 10.576 Br
-1.487 5.450 11.713 Br
0.697 9.695 9.008 Br
-5.282 6.077 12.900 Br
0.176 5.087 5.497 Br
-4.761 6.813 7.154 Br
7.466 7.689 2.324 Br
11.637 7.748 2.324 Br
3.450 5.691 1.136 Br
-6.179 -0.030 11.045 Br
-0.697 1.071 2.793 Br
1.487 1.290 7.821 Br
2.032 5.743 9.008 Br
11.092 -3.444 8.341 Br
2.905 -2.632 7.872 Br
-2.032 -0.905 6.216 Br
-1.487 -4.160 9.477 Br
6.822 0.965 5.013 K
1.364 7.719 3.342 K
-6.822 7.719 10.027 K
4.093 0.000 10.027 K
1.364 -0.965 5.013 K
-4.093 2.894 11.698 K
9.551 10.613 1.671 K
4.093 8.683 8.356 K
-1.364 6.754 8.356 K
9.551 4.824 1.671 K
-4.093 -2.894 11.698 K
12.280 0.000 3.342 K
-1.364 12.543 1.671 Eu
2.729 3.859 6.685 Eu
4.093 11.578 3.342 Eu
-1.364 0.965 8.356 Eu
5.458 -3.859 6.685 Eu
0.000 0.000 0.000 Eu
6.822 3.859 10.027 Eu
1.364 4.824 11.698 Eu
8.187 0.000 0.000 Eu
6.822 -4.824 11.698 Eu
4.093 2.894 1.671 Eu
9.551 -0.965 8.356 Eu
-2.729 7.719 0.000 Eu
-5.458 3.859 6.685 Eu
6.822 6.754 5.013 Eu
-1.364 3.859 3.342 Eu
1.364 -3.859 10.027 Eu
-4.093 8.683 5.013 Eu
-2.729 -3.859 6.685 Eu
5.458 7.719 0.000 Eu
```

- E_form (uncorrected) (eV per formula unit) = -36.04
- DOS at the Fermi energy (states/eV per cell) = 7.351